# AlZnP2 PBE-GGA optimized geometry
# formation energy from the elements: 5.2 kJ per mole of atoms
# density of states at the Fermi level: 1.9 states/eV/cell
data_AlZnP2
_cell_length_a 3.248
_cell_length_b 3.248
_cell_length_c 6.605
_cell_angle_alpha 90.00
_cell_angle_beta 90.00
_cell_angle_gamma 90.00
_space_group_name_H-M_alt 'P 4 m m'
_space_group_IT_number 99
loop_
_space_group_symop_operation_xyz
'x,y,z'
'-y,x,z'
'-x,-y,z'
'y,-x,z'
'-x,y,z'
'y,x,z'
'x,-y,z'
'-y,-x,z'
loop_
_atom_site_label
_atom_site_fract_x
_atom_site_fract_y
_atom_site_fract_z
Al1 0.000 0.000 0.000
Zn1 0.500 0.500 0.806
P1 0.000 0.000 0.362
P2 0.500 0.500 0.448

---

# Nd5Tm4Th2 PBE-GGA optimized geometry
# formation energy from the elements: 48.0 kJ per mole of atoms
# density of states at the Fermi level: 34.3 states/eV/cell
data_Nd5Tm4Th2
_cell_length_a 3.439
_cell_length_b 9.302
_cell_length_c 24.717
_cell_angle_alpha 90.00
_cell_angle_beta 90.00
_cell_angle_gamma 90.00
_space_group_name_H-M_alt 'I m m m'
_space_group_IT_number 71
_space_group_name_Hall '-I 2 2'
loop_
_atom_site_label
_atom_site_fract_x
_atom_site_fract_y
_atom_site_fract_z
Nd1 0.000 0.000 0.000
Nd2 0.000 0.180 0.343
Tm1 0.000 0.182 0.500
Tm2 0.000 0.500 0.260
Th1 0.000 0.500 0.392

---

# Rb3U2TiS6 PBE-GGA optimized geometry
# E_form (uncorrected): -1.332 eV/atom
# density of states at the Fermi level: 18.9 states/eV/cell
data_Rb3U2TiS6
_cell_length_a 6.844
_cell_length_b 11.854
_cell_length_c 8.064
_cell_angle_alpha 90.00
_cell_angle_beta 106.45
_cell_angle_gamma 90.00
_space_group_name_H-M_alt 'C 1 2/m 1'
_space_group_IT_number 12
loop_
_space_group_symop_operation_xyz
'x,y,z'
'-x,-y,-z'
'-x,y,-z'
'x,-y,z'
'x+1/2,y+1/2,z'
'-x+1/2,-y+1/2,-z'
'-x+1/2,y+1/2,-z'
'x+1/2,-y+1/2,z'
loop_
_atom_site_label
_atom_site_fract_x
_atom_site_fract_y
_atom_site_fract_z
Rb1 0.000 0.000 0.000
Rb2 0.000 0.332 0.000
U1 0.000 0.167 0.500
Ti1 0.000 0.500 0.500
S1 0.222 0.341 0.689
S2 0.245 0.000 0.690

---

# LiRe2P2 PBE-GGA optimized geometry
# formation energy from the elements: -10.3 kJ per mole of atoms
# density of states at the Fermi level: 6.8 states/eV/cell
data_LiRe2P2
_cell_length_a 6.812
_cell_length_b 6.812
_cell_length_c 2.942
_cell_angle_alpha 90.00
_cell_angle_beta 90.00
_cell_angle_gamma 90.00
_space_group_name_H-M_alt 'P 4/m b m'
_space_group_IT_number 127
_space_group_name_Hall '-P 4 2ab'
loop_
_atom_site_label
_atom_site_fract_x
_atom_site_fract_y
_atom_site_fract_z
Li1 0.000 0.000 0.000
Re1 0.147 0.353 0.500
P1 0.148 0.648 0.000

---

# Rb2H5Ir PBE-GGA optimized geometry
# VASP energy: -3.663 eV/atom
data_Rb2H5Ir
_cell_length_a 6.168
_cell_length_b 6.168
_cell_length_c 7.809
_cell_angle_alpha 90.00
_cell_angle_beta 90.00
_cell_angle_gamma 90.00
_space_group_name_H-M_alt 'I 4 m m'
_space_group_IT_number 107
_space_group_name_Hall 'I 4 -2'
loop_
_atom_site_label
_atom_site_fract_x
_atom_site_fract_y
_atom_site_fract_z
Rb1 0.000 0.500 0.000
H1 0.000 0.000 0.049
H2 0.194 0.194 0.249
Ir1 0.000 0.000 0.248

---

# Cd3BO PBE-GGA optimized geometry
# E_form (uncorrected): 0.412 eV/atom
# density of states at the Fermi level: 4.1 states/eV/cell
data_Cd3BO
_cell_length_a 4.519
_cell_length_b 4.519
_cell_length_c 4.519
_cell_angle_alpha 90.00
_cell_angle_beta 90.00
_cell_angle_gamma 90.00
_space_group_name_H-M_alt 'P m -3 m'
_space_group_IT_number 221
_space_group_name_Hall '-P 4 2 3'
loop_
_atom_site_label
_atom_site_fract_x
_atom_site_fract_y
_atom_site_fract_z
Cd1 0.000 0.000 0.500
B1 0.000 0.000 0.000
O1 0.500 0.500 0.500